An optimized crystal structure of DyZn6Ir4, computed with PBE.

Structure (POSCAR):
```
DyZn6Ir4
1.0
-3.291 3.291 4.715
3.291 -3.291 4.715
3.291 3.291 -4.715
Dy Zn Ir
1 6 4
direct
0.000 0.000 0.000
0.000 0.500 0.500
0.110 0.471 0.000
0.471 0.110 0.000
0.500 0.000 0.500
0.529 0.529 0.638
0.890 0.890 0.362
0.253 0.253 0.644
0.391 0.747 0.000
0.609 0.609 0.356
0.747 0.391 0.000
```

Results
The value obtained for the formation energy is -73 meV per atom. For the calculated density, the calculation gives 10.8 g/cm³. The electronic total energy is -4.4086 eV per atom. As for the volume: 204.19 Å³ per cell. For the magnetic moment, the calculation gives 0.0 μB/f.u. The calculation puts the density of states at the Fermi level at 8.8 states/eV per cell.